Record 1
A plane-wave DFT calculation with PBE was carried out for an optimized crystal structure of ScIr2F. Values from VASP.

Cell and atoms, written as Quantum ESPRESSO input:
```
&SYSTEM
  ibrav = 0, nat = 8, ntyp = 3
/
ATOMIC_SPECIES
Sc 44.96 Sc.upf
Ir 192.22 Ir.upf
F 19.00 F.upf
ATOMIC_POSITIONS crystal
Sc 0.000 0.000 0.000
Sc 0.750 0.250 0.500
Ir 0.622 0.125 0.250
Ir 0.128 0.625 0.250
Ir 0.375 0.378 0.750
Ir 0.875 0.872 0.750
F 0.500 0.500 0.000
F 0.250 0.750 0.500
CELL_PARAMETERS angstrom
3.523 0.000 0.000
0.000 3.523 0.000
1.762 1.762 10.480
```

Calculated values
Symmetry: I-42d
Total magnetization: 0.00 μB/cell

---

Record 2
A plane-wave DFT calculation with PBE was carried out for an optimized crystal structure of Sc2IrF. Values from VASP.

Cell and atoms, written as Quantum ESPRESSO input:
```
&SYSTEM
  ibrav = 0, nat = 8, ntyp = 3
/
ATOMIC_SPECIES
Sc 44.96 Sc.upf
Ir 192.22 Ir.upf
F 19.00 F.upf
ATOMIC_POSITIONS crystal
Sc 0.573 0.125 0.250
Sc 0.177 0.625 0.250
Sc 0.375 0.427 0.750
Sc 0.875 0.823 0.750
Ir 0.000 0.000 0.000
Ir 0.750 0.250 0.500
F 0.500 0.500 0.000
F 0.250 0.750 0.500
CELL_PARAMETERS angstrom
-1.120 -5.150 3.394
0.586 -3.523 -5.152
3.201 -4.677 -0.251
```

Calculated values
Symmetry: I-42d
Total magnetization: 0.00 μB/cell

---

Record 3
A plane-wave DFT calculation with PBE was carried out for an optimized crystal structure of Sc3IrF. Values from VASP.

Cell and atoms, written as Quantum ESPRESSO input:
```
&SYSTEM
  ibrav = 0, nat = 5, ntyp = 3
/
ATOMIC_SPECIES
Sc 44.96 Sc.upf
Ir 192.22 Ir.upf
F 19.00 F.upf
ATOMIC_POSITIONS crystal
Sc 0.000 0.500 0.000
Sc 0.000 0.000 0.500
Sc 0.500 0.000 0.000
Ir 0.000 0.000 0.000
F 0.500 0.500 0.500
CELL_PARAMETERS angstrom
-0.519 -4.338 -2.578
3.609 1.493 -3.237
3.527 -2.165 2.933
```

Calculated values
Symmetry: Pm-3m
Total magnetization: 0.00 μB/cell

---

Record 4
A plane-wave DFT calculation with PBE was carried out for an optimized crystal structure of ScIrF2. Values from VASP.

Cell and atoms, written as Quantum ESPRESSO input:
```
&SYSTEM
  ibrav = 0, nat = 4, ntyp = 3
/
ATOMIC_SPECIES
Sc 44.96 Sc.upf
Ir 192.22 Ir.upf
F 19.00 F.upf
ATOMIC_POSITIONS crystal
Sc 0.000 0.000 0.000
Ir 0.500 0.500 0.500
F 0.250 0.250 0.250
F 0.750 0.750 0.750
CELL_PARAMETERS angstrom
-2.402 -1.737 -3.059
-3.064 2.297 -1.864
0.450 1.271 -4.040
```

Calculated values
Symmetry: Fm-3m
Total magnetization: 1.96 μB/cell

---

Record 5
A plane-wave DFT calculation with PBE was carried out for an optimized crystal structure of Sc2IrF. Values from VASP.

Cell and atoms, written as Quantum ESPRESSO input:
```
&SYSTEM
  ibrav = 0, nat = 4, ntyp = 3
/
ATOMIC_SPECIES
Sc 44.96 Sc.upf
Ir 192.22 Ir.upf
F 19.00 F.upf
ATOMIC_POSITIONS crystal
Sc 0.250 0.250 0.250
Sc 0.750 0.750 0.750
Ir 0.500 0.500 0.500
F 0.000 0.000 0.000
CELL_PARAMETERS angstrom
0.000 3.223 3.223
3.223 0.000 3.223
3.223 3.223 0.000
```

Calculated values
Symmetry: Fm-3m
Total magnetization: 0.00 μB/cell

---

Record 6
A plane-wave DFT calculation with PBE was carried out for an optimized crystal structure of SrScIr2F. Values from VASP.

Cell and atoms, written as Quantum ESPRESSO input:
```
&SYSTEM
  ibrav = 0, nat = 5, ntyp = 4
/
ATOMIC_SPECIES
Sc 44.96 Sc.upf
Sr 87.62 Sr.upf
Ir 192.22 Ir.upf
F 19.00 F.upf
ATOMIC_POSITIONS crystal
Sc 0.000 0.000 0.000
Sr 0.500 0.500 0.500
Ir 0.000 0.500 0.000
Ir 0.500 0.000 0.000
F 0.000 0.000 0.500
CELL_PARAMETERS angstrom
5.082 0.000 0.000
0.000 5.082 0.000
0.000 0.000 4.126
```

Calculated values
Symmetry: P4/mmm
Total magnetization: 0.40 μB/cell

---

Record 7
A plane-wave DFT calculation with PBE was carried out for an optimized crystal structure of ScZnIr2F. Values from VASP.

Cell and atoms, written as Quantum ESPRESSO input:
```
&SYSTEM
  ibrav = 0, nat = 5, ntyp = 4
/
ATOMIC_SPECIES
Sc 44.96 Sc.upf
Zn 65.41 Zn.upf
Ir 192.22 Ir.upf
F 19.00 F.upf
ATOMIC_POSITIONS crystal
Sc 0.000 0.000 0.000
Zn 0.000 0.500 0.000
Ir 0.000 0.000 0.500
Ir 0.500 0.000 0.000
F 0.500 0.500 0.500
CELL_PARAMETERS angstrom
4.732 0.000 0.000
0.000 5.390 0.000
0.000 0.000 4.732
```

Calculated values
Symmetry: P4/mmm
Total magnetization: 1.80 μB/cell

---

Record 8
A plane-wave DFT calculation with PBE was carried out for an optimized crystal structure of IrSeF3. Values from VASP.

Cell and atoms, written as Quantum ESPRESSO input:
```
&SYSTEM
  ibrav = 0, nat = 5, ntyp = 3
/
ATOMIC_SPECIES
Ir 192.22 Ir.upf
Se 78.96 Se.upf
F 19.00 F.upf
ATOMIC_POSITIONS crystal
Ir 0.000 0.000 0.000
Se 0.500 0.500 0.500
F 0.000 0.500 0.000
F 0.000 0.000 0.500
F 0.500 0.000 0.000
CELL_PARAMETERS angstrom
-1.736 2.951 2.443
1.147 -2.159 3.423
3.656 2.079 0.086
```

Calculated values
Symmetry: Pm-3m
Total magnetization: 0.00 μB/cell

---

Record 9
A plane-wave DFT calculation with PBE was carried out for an optimized crystal structure of IrSe2F2. Values from VASP.

Cell and atoms, written as Quantum ESPRESSO input:
```
&SYSTEM
  ibrav = 0, nat = 5, ntyp = 3
/
ATOMIC_SPECIES
Ir 192.22 Ir.upf
Se 78.96 Se.upf
F 19.00 F.upf
ATOMIC_POSITIONS crystal
Ir 0.000 0.000 0.000
Se 0.389 0.389 0.222
Se 0.611 0.611 0.778
F 0.750 0.250 0.500
F 0.250 0.750 0.500
CELL_PARAMETERS angstrom
3.345 0.000 0.000
0.000 3.345 0.000
1.673 1.673 6.212
```

Calculated values
Symmetry: I4/mmm
Total magnetization: 0.00 μB/cell

---

Record 10
A plane-wave DFT calculation with PBE was carried out for an optimized crystal structure of Ir3SeF. Values from VASP.

Cell and atoms, written as Quantum ESPRESSO input:
```
&SYSTEM
  ibrav = 0, nat = 5, ntyp = 3
/
ATOMIC_SPECIES
Ir 192.22 Ir.upf
Se 78.96 Se.upf
F 19.00 F.upf
ATOMIC_POSITIONS crystal
Ir 0.000 0.500 0.000
Ir 0.000 0.000 0.500
Ir 0.500 0.000 0.000
Se 0.500 0.500 0.500
F 0.000 0.000 0.000
CELL_PARAMETERS angstrom
-0.401 2.019 3.801
-2.236 -3.360 1.548
3.678 -1.823 1.356
```

Calculated values
Symmetry: Pm-3m
Total magnetization: 0.00 μB/cell

---

Record 11
A plane-wave DFT calculation with PBE was carried out for an optimized crystal structure of IrSeF3. Values from VASP.

Cell and atoms, written as Quantum ESPRESSO input:
```
&SYSTEM
  ibrav = 0, nat = 5, ntyp = 3
/
ATOMIC_SPECIES
Ir 192.22 Ir.upf
Se 78.96 Se.upf
F 19.00 F.upf
ATOMIC_POSITIONS crystal
Ir 0.500 0.500 0.500
Se 0.000 0.000 0.000
F 0.000 0.500 0.000
F 0.000 0.000 0.500
F 0.500 0.000 0.000
CELL_PARAMETERS angstrom
4.352 0.000 0.000
0.000 4.352 0.000
0.000 0.000 4.352
```

Calculated values
Symmetry: Pm-3m
Total magnetization: 2.53 μB/cell

---

Record 12
A plane-wave DFT calculation with PBE was carried out for an optimized crystal structure of Ir2SeF. Values from VASP.

Cell and atoms, written as Quantum ESPRESSO input:
```
&SYSTEM
  ibrav = 0, nat = 8, ntyp = 3
/
ATOMIC_SPECIES
Ir 192.22 Ir.upf
Se 78.96 Se.upf
F 19.00 F.upf
ATOMIC_POSITIONS crystal
Ir 0.631 0.125 0.250
Ir 0.119 0.625 0.250
Ir 0.375 0.369 0.750
Ir 0.875 0.881 0.750
Se 0.000 0.000 0.000
Se 0.750 0.250 0.500
F 0.500 0.500 0.000
F 0.250 0.750 0.500
CELL_PARAMETERS angstrom
6.453 0.000 0.000
0.000 6.453 0.000
3.227 3.227 2.911
```

Calculated values
Symmetry: I-42d
Total magnetization: 0.00 μB/cell

---

Record 13
A plane-wave DFT calculation with PBE was carried out for an optimized crystal structure of Ir2SeF. Values from VASP.

Cell and atoms, written as Quantum ESPRESSO input:
```
&SYSTEM
  ibrav = 0, nat = 4, ntyp = 3
/
ATOMIC_SPECIES
Ir 192.22 Ir.upf
Se 78.96 Se.upf
F 19.00 F.upf
ATOMIC_POSITIONS crystal
Ir 0.250 0.250 0.250
Ir 0.750 0.750 0.750
Se 0.500 0.500 0.500
F 0.000 0.000 0.000
CELL_PARAMETERS angstrom
0.000 3.011 3.011
3.011 0.000 3.011
3.011 3.011 0.000
```

Calculated values
Symmetry: Fm-3m
Total magnetization: 0.00 μB/cell

---

Record 14
A plane-wave DFT calculation with PBE was carried out for an optimized crystal structure of Ir3SeF. Values from VASP.

Cell and atoms, written as Quantum ESPRESSO input:
```
&SYSTEM
  ibrav = 0, nat = 5, ntyp = 3
/
ATOMIC_SPECIES
Ir 192.22 Ir.upf
Se 78.96 Se.upf
F 19.00 F.upf
ATOMIC_POSITIONS crystal
Ir 0.000 0.500 0.000
Ir 0.000 0.000 0.500
Ir 0.500 0.000 0.000
Se 0.000 0.000 0.000
F 0.500 0.500 0.500
CELL_PARAMETERS angstrom
4.601 0.000 0.000
0.000 4.601 0.000
0.000 0.000 4.601
```

Calculated values
Symmetry: Pm-3m
Total magnetization: 1.42 μB/cell

---

| no. | raw formation energy (kJ per mole of atoms) |
| --- | --- |
| 1 | -69 |
| 2 | -142 |
| 3 | -54 |
| 4 | -85 |
| 5 | -119 |
| 6 | -52 |
| 7 | 114 |
| 8 | -15 |
| 9 | -22 |
| 10 | 148 |
| 11 | 39 |
| 12 | 30 |
| 13 | 22 |
| 14 | 137 |